4
Lattice="4.188 0.000 0.000 0.000 4.183 0.000 0.000 0.000 3.988" Properties=species:S:1:pos:R:3 comment="Cd2NiAu | Alexandria via LeMat-Bulk | PBE | relaxed" polymorph_energy_mev_per_atom=0 vol_a3_per_atom=17.47 delta_e_f_ev_per_atom=-0.024 spacegroup="No. 123" pbc="T T T"
Ni 2.094 0.000 1.994
Au 0.000 2.092 1.994
Cd 0.000 0.000 0.000
Cd 2.094 2.092 0.000